# 1
This record from Alexandria describes Rb3BiC at its PBEsol-relaxed geometry. The functional is meta-GGA SCAN.

abc: 5.919 5.919 5.919
angles: 90.00 90.00 90.00
Site moments in Bohr magnetons follow the coordinates.
Atoms (fractional coordinates):
1 C 0.000 0.000 0.000  1.22
2 Bi 0.500 0.500 0.500  0.59
3 Rb 0.000 0.500 0.000  0.04
4 Rb 0.000 0.000 0.500  0.04
5 Rb 0.500 0.000 0.000  0.04

Computed properties:
- Energy of formation from the pure elements: 642 meV per atom
- SG: Pm-3m (221)

=====

# 2
This record from Alexandria describes CaY2Rh at its PBEsol-relaxed geometry. The functional is meta-GGA SCAN.

abc: 5.111 5.111 5.111
angles: 60.00 60.00 60.00
Atoms (fractional coordinates):
1 Y 0.000 0.000 0.000
2 Y 0.750 0.750 0.750
3 Ca 0.500 0.500 0.500
4 Rh 0.250 0.250 0.250

Computed properties:
- Polymorph energy (0 for the lowest one): 0.402 eV/atom
- Energy of formation from the pure elements: -15 meV per atom
- SG: F-43m (216)

=====

# 3
This record from Alexandria describes AlTcB2H at its PBEsol-relaxed geometry. The functional is meta-GGA SCAN.

abc: 3.268 3.650 3.650
angles: 90.00 90.00 90.00
Atoms (fractional coordinates):
1 H 0.000 0.000 0.000
2 B 0.000 0.000 0.500
3 B 0.000 0.500 0.000
4 Tc 0.500 0.000 0.000
5 Al 0.500 0.500 0.500

Computed properties:
- Energy: -11.50 eV/atom
- SG: P4/mmm (123)

=====

# 4
This record from Alexandria describes Tm5Ir3 at its PBEsol-relaxed geometry. The functional is meta-GGA SCAN.

abc: 5.989 8.129 8.129
angles: 120.00 90.00 90.00
Atoms (fractional coordinates):
1 Tm 0.500 0.333 0.667
2 Tm 0.500 0.667 0.333
3 Tm 0.000 0.667 0.333
4 Tm 0.000 0.333 0.667
5 Tm 0.250 0.000 0.738
6 Tm 0.750 0.000 0.262
7 Tm 0.250 0.738 0.000
8 Tm 0.750 0.262 0.000
9 Tm 0.250 0.262 0.262
10 Tm 0.750 0.738 0.738
11 Ir 0.250 0.000 0.389
12 Ir 0.750 0.000 0.611
13 Ir 0.250 0.389 0.000
14 Ir 0.750 0.611 0.000
15 Ir 0.250 0.611 0.611
16 Ir 0.750 0.389 0.389

Computed properties:
- Polymorph energy (0 for the lowest one): 0.052 eV/atom
- Energy of formation from the pure elements: -1024 meV per atom
- SG: P6_3/mcm (193)